Record 1
The following is a PBE calculation of a relaxed structure of Cs12I3Cl5, from the Alexandria database.

Geometry as POSCAR:
```
Cs12I3Cl5
1.0
-11.0439 11.0439 11.0439
11.0439 -11.0439 11.0439
11.0439 11.0439 -11.0439
Cs I Cl
48 12 20
direct
0.0278 0.2065 0.1230
0.0278 0.3213 0.9048
0.0835 0.7065 0.6787
0.0835 0.8770 0.4048
0.0952 0.6230 0.4165
0.0952 0.9722 0.6787
0.1230 0.0278 0.2065
0.1230 0.5952 0.9165
0.1787 0.2065 0.5835
0.1787 0.4722 0.5952
0.2065 0.1230 0.0278
0.2065 0.5835 0.1787
0.2935 0.3213 0.9165
0.2935 0.4722 0.3770
0.3213 0.9048 0.0278
0.3213 0.9165 0.2935
0.3770 0.2935 0.4722
0.3770 0.5835 0.9048
0.4048 0.0835 0.8770
0.4048 0.8213 0.5278
0.4165 0.0952 0.6230
0.4165 0.8213 0.7935
0.4722 0.3770 0.2935
0.4722 0.5952 0.1787
0.5278 0.4048 0.8213
0.5278 0.6230 0.7065
0.5835 0.1787 0.2065
0.5835 0.9048 0.3770
0.5952 0.1787 0.4722
0.5952 0.9165 0.1230
0.6230 0.4165 0.0952
0.6230 0.7065 0.5278
0.6787 0.0835 0.7065
0.6787 0.0952 0.9722
0.7065 0.5278 0.6230
0.7065 0.6787 0.0835
0.7935 0.4165 0.8213
0.7935 0.8770 0.9722
0.8213 0.5278 0.4048
0.8213 0.7935 0.4165
0.8770 0.4048 0.0835
0.8770 0.9722 0.7935
0.9048 0.0278 0.3213
0.9048 0.3770 0.5835
0.9165 0.1230 0.5952
0.9165 0.2935 0.3213
0.9722 0.6787 0.0952
0.9722 0.7935 0.8770
0.1250 0.2500 0.3750
0.1250 0.3750 0.7500
0.2500 0.3750 0.1250
0.2500 0.8750 0.6250
0.3750 0.1250 0.2500
0.3750 0.7500 0.1250
0.6250 0.2500 0.8750
0.6250 0.8750 0.7500
0.7500 0.1250 0.3750
0.7500 0.6250 0.8750
0.8750 0.6250 0.2500
0.8750 0.7500 0.6250
0.0000 0.0000 0.0000
0.0000 0.0000 0.5000
0.0000 0.5000 0.0000
0.0000 0.5000 0.5000
0.1250 0.7500 0.8750
0.1250 0.8750 0.2500
0.2500 0.1250 0.8750
0.2500 0.6250 0.3750
0.3750 0.2500 0.6250
0.3750 0.6250 0.7500
0.5000 0.0000 0.0000
0.5000 0.0000 0.5000
0.5000 0.5000 0.0000
0.5000 0.5000 0.5000
0.6250 0.3750 0.2500
0.6250 0.7500 0.3750
0.7500 0.3750 0.6250
0.7500 0.8750 0.1250
0.8750 0.1250 0.7500
0.8750 0.2500 0.1250
```

Values from the calculation:
The total moment is 0.00 μB/f.u. The formation energy without anion corrections comes out at -1322 meV per atom. The calculation puts the total energy at -50.569 eV per formula unit.

Record 2
The following is a PBE calculation of a relaxed structure of CeThTaN3, from the Alexandria database.

Geometry as POSCAR:
```
CeThTaN3
1.0
7.4600 0.0000 0.0000
0.0000 3.3731 0.0000
-0.7077 0.0000 7.9586
Ce Th Ta N
2 2 2 6
direct
0.1200 0.2500 0.3489
0.8800 0.7500 0.6511
0.4129 0.7500 0.6824
0.5871 0.2500 0.3176
0.1400 0.2500 0.9379
0.8600 0.7500 0.0621
0.1392 0.7500 0.0960
0.1586 0.2500 0.6734
0.3679 0.7500 0.3964
0.6321 0.2500 0.6036
0.8414 0.7500 0.3266
0.8608 0.2500 0.9040
```

Values from the calculation:
The total moment is 0.00 μB/f.u. The formation energy without anion corrections comes out at -1101 meV per atom. The calculation puts the total energy at -56.789 eV per formula unit.

Record 3
The following is a PBE calculation of a relaxed structure of LiEr2Pb, from the Alexandria database.

Geometry as POSCAR:
```
LiEr2Pb
1.0
3.8014 0.0000 0.0000
0.0000 3.8014 0.0000
0.0000 0.0000 7.2165
Li Er Pb
1 2 1
direct
0.0000 0.0000 0.0000
0.5000 0.5000 0.2381
0.5000 0.5000 0.7619
0.0000 0.0000 0.5000
```

Values from the calculation:
The total moment is 0.00 μB/f.u. The calculation puts the formation enthalpy at 0 K at -16.21 kJ/mol of atoms. The calculation puts the total energy at -15.420 eV per formula unit.

Record 4
The following is a PBE calculation of a relaxed structure of PmTmSn2, from the Alexandria database.

Geometry as POSCAR:
```
PmTmSn2
1.0
4.8754 0.0000 0.0000
0.0000 4.8754 0.0000
0.0000 0.0000 4.4976
Pm Tm Sn
1 1 2
direct
0.0000 0.0000 0.0000
0.5000 0.5000 0.0000
0.0000 0.5000 0.5000
0.5000 0.0000 0.5000
```

Values from the calculation:
The total moment is 0.00 μB/f.u. The calculation puts the formation enthalpy at 0 K at -59.63 kJ/mol of atoms. The calculation puts the total energy at -19.700 eV per formula unit.

Record 5
The following is a PBE calculation of a relaxed structure of SmPuBiPb, from the Alexandria database.

Geometry as POSCAR:
```
SmPuBiPb
1.0
0.0000 3.9026 3.9026
3.9026 0.0000 3.9026
3.9026 3.9026 0.0000
Sm Pu Bi Pb
1 1 1 1
direct
0.0000 0.0000 0.0000
0.5000 0.5000 0.5000
0.2500 0.2500 0.2500
0.7500 0.7500 0.7500
```

Values from the calculation:
The total moment is 6.09 μB/f.u. The calculation puts the formation enthalpy at 0 K at -32.26 kJ/mol of atoms. The calculation puts the total energy at -27.978 eV per formula unit.

Record 6
The following is a PBE calculation of a relaxed structure of MgCd2P, from the Alexandria database.

Geometry as POSCAR:
```
MgCd2P
1.0
2.0373 1.1762 6.5067
-2.0373 1.1762 6.5067
0.0000 -2.3524 6.5067
Mg Cd P
1 2 1
direct
0.0000 0.0000 0.0000
0.2342 0.2342 0.2342
0.7658 0.7658 0.7658
0.5000 0.5000 0.5000
```

Values from the calculation:
The total moment is 0.00 μB/f.u. The calculation puts the formation enthalpy at 0 K at 10.72 kJ/mol of atoms. The calculation puts the total energy at -8.390 eV per formula unit.

Record 7
The following is a PBE calculation of a relaxed structure of Na2LaHfGa, from the Alexandria database.

Geometry as POSCAR:
```
Na2LaHfGa
1.0
5.2033 0.0000 0.0000
0.0000 5.2033 0.0000
0.0000 0.0000 5.9734
Na La Hf Ga
2 1 1 1
direct
0.0000 0.5000 0.0000
0.5000 0.0000 0.0000
0.0000 0.0000 0.5000
0.5000 0.5000 0.5000
0.0000 0.0000 0.0000
```

Values from the calculation:
The total moment is 0.00 μB/f.u. The calculation puts the formation enthalpy at 0 K at 76.67 kJ/mol of atoms. The calculation puts the total energy at -16.573 eV per formula unit.

Record 8
The following is a PBE calculation of a relaxed structure of KScWN3, from the Alexandria database.

Geometry as POSCAR:
```
KScWN3
1.0
6.1621 -1.6263 0.0000
6.1621 1.6263 0.0000
-4.5782 0.0000 9.8279
K Sc W N
2 2 2 6
direct
0.1613 0.1613 0.1211
0.8387 0.8387 0.8789
0.1619 0.1619 0.5432
0.8381 0.8381 0.4568
0.4808 0.4808 0.2682
0.5192 0.5192 0.7318
0.0511 0.0511 0.8423
0.3530 0.3530 0.6102
0.3698 0.3698 0.3428
0.6302 0.6302 0.6572
0.6470 0.6470 0.3898
0.9489 0.9489 0.1577
```

Values from the calculation:
The total moment is 0.00 μB/f.u. The formation energy without anion corrections comes out at -798 meV per atom. The calculation puts the total energy at -50.145 eV per formula unit.